(1)
A plane-wave DFT calculation with meta-GGA SCAN was carried out for Ca4Cl6O at its PBEsol-relaxed geometry.

Computed properties:
E_form (uncorrected) ... -2.79 eV/atom
Symmetry ... P6_3mc (186)

Unit cell a=6.7899 b=8.9662 c=8.9662 alpha=120.00 beta=90.00 gamma=90.00
Site moments in Bohr magnetons follow the coordinates.
Sites, in units of the cell vectors:
Ca (0.5007, 0.1982, 0.8018)  0.00
Ca (0.0007, 0.8018, 0.6036)  0.00
Ca (0.5007, 0.1982, 0.3964)  0.00
Ca (0.0007, 0.8018, 0.1982)  0.00
Ca (0.5729, 0.6667, 0.3333)  0.00
Ca (0.0729, 0.3333, 0.6667)  0.00
Ca (0.0007, 0.3964, 0.1982)  0.00
Ca (0.5007, 0.6036, 0.8018)  0.00
Cl (0.7908, 0.4639, 0.5361)  0.01
Cl (0.7908, 0.4639, 0.9278)  0.01
Cl (0.1153, 0.1378, 0.8622)  0.00
Cl (0.2908, 0.5361, 0.4639)  0.01
Cl (0.7908, 0.0722, 0.5361)  0.01
Cl (0.2908, 0.5361, 0.0722)  0.01
Cl (0.2908, 0.9278, 0.4639)  0.01
Cl (0.6153, 0.8622, 0.7243)  0.00
Cl (0.6153, 0.8622, 0.1378)  0.00
Cl (0.6153, 0.2757, 0.1378)  0.00
Cl (0.1153, 0.7243, 0.8622)  0.00
Cl (0.1153, 0.1378, 0.2757)  0.00
O (0.3953, 0.3333, 0.6667)  0.06
O (0.8953, 0.6667, 0.3333)  0.06

=====

(2)
A plane-wave DFT calculation with meta-GGA SCAN was carried out for Sb2AuSe at its PBEsol-relaxed geometry.

Computed properties:
E_form (uncorrected) ... 0.35 eV/atom
Symmetry ... F-43m (216)

Unit cell a=5.0136 b=5.0136 c=5.0136 alpha=60.00 beta=60.00 gamma=60.00
Sites, in units of the cell vectors:
Sb (0.0000, 0.0000, 0.0000)
Sb (0.2500, 0.2500, 0.2500)
Au (0.5000, 0.5000, 0.5000)
Se (0.7500, 0.7500, 0.7500)